Record 1
## SrLiAg2Hg (GGA-PBE)

Data for SrLiAg2Hg after structural relaxation.

Unit cell a=4.389 b=4.257 c=7.232 alpha=107.12 beta=107.66 gamma=90.00
Fractional coordinates of all 5 atoms:
Sr (0.450, 0.450, 0.899)
Ag (0.052, 0.052, 0.105)
Ag (0.685, 0.185, 0.371)
Hg (0.833, 0.833, 0.665)
Li (0.192, 0.692, 0.384)

Summary:
Mass density: 6.93 g/cm³
Size of the total moment: 0.00 μB/f.u.
Relative energy among the computed polymorphs: 0.0 meV/atom
DOS at the Fermi energy: 2.0 states/eV/cell
SG: Imm2 (44)
E_form: -0.278 eV per atom

Record 2
## Ac6SiPt2Br3 (GGA-PBE)

Data for Ac6SiPt2Br3 after structural relaxation.

Unit cell a=4.427 b=9.610 c=10.507 alpha=105.61 beta=102.16 gamma=90.00
Fractional coordinates of all 12 atoms:
Pt (0.831, 0.666, 0.662)
Pt (0.169, 0.334, 0.338)
Br (0.155, 0.829, 0.309)
Br (0.845, 0.171, 0.691)
Br (0.500, 0.500, 0.000)
Ac (0.322, 0.447, 0.644)
Ac (0.659, 0.112, 0.317)
Ac (0.341, 0.888, 0.683)
Ac (0.678, 0.553, 0.356)
Ac (0.986, 0.767, 0.973)
Ac (0.014, 0.233, 0.027)
Si (0.500, 0.000, 0.000)

Summary:
Mass density: 7.98 g/cm³
Size of the total moment: 0.00 μB/f.u.
DOS at the Fermi energy: 8.7 states/eV/cell
ΔE_f (raw): -1.21 eV/atom
SG: C2/m (12)